*1*
TaMoW2 | PBEsol | optimized geometry

```
TaMoW2
1.0
3.1702 0.0000 0.0000
0.0000 4.4675 0.0000
-1.5851 -2.2338 4.5081
W Ta Mo
2 1 1
Direct
0.2537 0.2537 0.5074 W
0.7463 0.7463 0.4926 W
0.5000 0.0000 0.0000 Ta
0.0000 0.5000 0.0000 Mo
```

Summary:
Magnetic moment   0.0 μB/f.u.



*2*
TaMoW2 | PBEsol | optimized geometry

```
TaMoW2
1.0
-0.9015 -1.5996 2.0604
4.1588 -1.5580 0.6101
1.2372 4.3443 2.6605
Mo W Ta
1 2 1
Direct
0.5000 0.5000 0.0000 Mo
0.2563 0.0000 0.2486 W
0.7437 0.0000 0.7514 W
0.0000 0.5000 0.5000 Ta
```

Summary:
Magnetic moment   0.0 μB/f.u.



Which structure is most stable? *1*, by 0.030 eV/atom over the runner-up.



*1*
WOF4 | PBEsol | optimized geometry

```
WOF4
1.0
3.9111 0.0000 0.0000
1.9556 4.7870 0.0000
1.9556 0.0000 4.7870
F W O
4 1 1
Direct
0.0076 0.1760 0.6588 F
0.6664 0.3412 0.1760 F
0.8424 0.8240 0.3412 F
0.1836 0.6588 0.8240 F
0.9961 0.0000 0.0000 W
0.4429 0.0000 0.0000 O
```

Summary:
Magnetic moment   0.0 μB/f.u.



*2*
WOF4 | PBEsol | optimized geometry

```
WOF4
1.0
6.5104 0.0000 0.0000
3.2552 7.9034 0.0000
3.2552 0.0000 7.9034
F O W
16 4 4
Direct
0.6219 0.5112 0.1174 F
0.5059 0.6807 0.7915 F
0.2607 0.1174 0.4888 F
0.8670 0.8826 0.5112 F
0.7026 0.7915 0.3193 F
0.3745 0.1431 0.7435 F
0.0516 0.4030 0.6605 F
0.2505 0.4888 0.8826 F
0.8820 0.7435 0.8569 F
0.4824 0.2565 0.1431 F
0.8134 0.2085 0.6807 F
0.5454 0.3395 0.4030 F
0.9781 0.3193 0.2085 F
0.2879 0.6605 0.5970 F
0.2611 0.8569 0.2565 F
0.1151 0.5970 0.3395 F
0.0978 0.7674 0.0552 O
0.1348 0.9448 0.7674 O
0.8470 0.0552 0.2326 O
0.9204 0.2326 0.9448 O
0.0907 0.1781 0.7161 W
0.1932 0.7161 0.8219 W
0.7311 0.2839 0.1781 W
0.9850 0.8219 0.2839 W
```

Summary:
Magnetic moment   0.0 μB/f.u.



Which structure is most stable? *1*, by 0.024 eV/atom over the runner-up.